Version P
ScTa2Cr | GGA-PBE | relaxed

```
ScTa2Cr
1.0
5.369 -0.404 0.000
-2.212 4.908 0.000
0.000 0.000 2.862
Cr Sc Ta
1 1 2
direct
0.500 0.000 0.500
0.000 0.500 0.500
0.000 0.000 0.000
0.500 0.500 0.000
```

Values from the calculation:
total magnetization	2.27	Bohr magnetons per cell
crystal system	orthorhombic



Version Q
ScTa2Cr | GGA-PBE | relaxed

```
ScTa2Cr
1.0
7.305 0.000 0.000
0.000 7.305 0.000
3.653 3.653 2.796
Sc Cr Ta
2 2 4
direct
0.500 0.500 0.000
0.250 0.750 0.500
0.000 0.000 0.000
0.750 0.250 0.500
0.672 0.125 0.250
0.078 0.625 0.250
0.375 0.328 0.750
0.875 0.922 0.750
```

Values from the calculation:
total magnetization	0.00	Bohr magnetons per cell
crystal system	tetragonal



The data favor version P; the next most stable structure lies 245 meV per atom above it.



Version P
ScCr2Tc | GGA-PBE | relaxed

```
ScCr2Tc
1.0
8.441 -0.022 -0.013
7.959 2.812 -0.013
7.959 1.354 2.465
Cr Sc Tc
2 1 1
direct
0.995 0.995 0.995
0.262 0.262 0.262
0.502 0.502 0.502
0.740 0.740 0.740
```

Values from the calculation:
total magnetization	0.00	Bohr magnetons per cell
crystal system	trigonal



Version Q
ScCr2Tc | GGA-PBE | relaxed

```
ScCr2Tc
1.0
-3.217 -0.574 2.908
0.973 -4.257 0.235
3.101 2.996 0.733
Cr Sc Tc
2 1 1
direct
0.000 0.000 0.000
0.250 0.750 0.500
0.500 0.500 0.000
0.750 0.250 0.500
```

Values from the calculation:
total magnetization	1.46	Bohr magnetons per cell
crystal system	cubic



Version R
ScCr2Tc | GGA-PBE | relaxed

```
ScCr2Tc
1.0
6.940 0.000 0.000
0.000 6.940 0.000
3.470 3.470 2.703
Sc Cr Tc
2 4 2
direct
0.500 0.500 0.000
0.250 0.750 0.500
0.668 0.125 0.250
0.082 0.625 0.250
0.375 0.332 0.750
0.875 0.918 0.750
0.000 0.000 0.000
0.750 0.250 0.500
```

Values from the calculation:
total magnetization	4.20	Bohr magnetons per cell
crystal system	tetragonal



Version S
ScCr2Tc | GGA-PBE | relaxed

```
ScCr2Tc
1.0
2.699 0.000 0.000
-0.948 2.527 0.000
0.000 0.000 8.554
Cr Sc Tc
2 1 1
direct
0.000 0.000 0.980
0.000 0.000 0.520
0.500 0.500 0.250
0.500 0.500 0.750
```

Values from the calculation:
total magnetization	0.00	Bohr magnetons per cell
crystal system	orthorhombic



The data favor version Q; the next most stable structure lies 194 meV per atom above it.



Version P
ScCrTc | GGA-PBE | relaxed

```
ScCrTc
1.0
5.367 0.817 -0.328
3.117 4.447 0.326
-4.070 -2.910 2.136
Cr Sc Tc
1 1 1
direct
0.019 0.018 0.000
0.334 0.334 0.000
0.647 0.647 0.000
```

Values from the calculation:
total magnetization	0.00	Bohr magnetons per cell
crystal system	tetragonal



Version Q
ScCrTc | GGA-PBE | relaxed

```
ScCrTc
1.0
-2.286 -1.074 3.569
0.120 -4.097 1.522
2.078 -0.880 3.745
Cr Sc Tc
1 1 1
direct
0.500 0.500 0.500
0.250 0.250 0.250
0.000 0.000 0.000
```

Values from the calculation:
total magnetization	2.35	Bohr magnetons per cell
crystal system	cubic



Version R
ScCrTc | GGA-PBE | relaxed

```
ScCrTc
1.0
-0.798 3.433 2.421
-3.095 2.731 -1.117
-3.601 0.206 2.297
Cr Sc Tc
1 1 1
direct
0.000 0.000 0.000
0.500 0.500 0.500
0.250 0.250 0.250
```

Values from the calculation:
total magnetization	1.70	Bohr magnetons per cell
crystal system	cubic



The data favor version P; the next most stable structure lies 528 meV per atom above it.



Version P
ScCrTc | GGA-PBE | relaxed

```
ScCrTc
1.0
-4.994 -4.284 -1.952
-2.961 -4.536 -3.853
0.021 -2.110 1.832
Cr Sc Tc
1 1 1
direct
0.012 0.012 0.988
0.334 0.334 0.666
0.654 0.654 0.346
```

Values from the calculation:
total magnetization	0.00	Bohr magnetons per cell
crystal system	orthorhombic



Version Q
ScCrTc | GGA-PBE | relaxed

```
ScCrTc
1.0
-2.855 2.831 -1.517
-0.506 -1.667 3.929
1.552 2.164 1.118
Cr Sc Tc
1 1 1
direct
0.000 0.000 0.953
0.667 0.333 0.341
0.333 0.667 0.707
```

Values from the calculation:
total magnetization	0.00	Bohr magnetons per cell
crystal system	trigonal



The data favor version Q; the next most stable structure lies 113 meV per atom above it.



Version P
ScCrTc | GGA-PBE | relaxed

```
ScCrTc
1.0
-1.706 0.886 -3.561
3.927 -1.166 -2.172
-0.781 -5.199 1.380
Tc Sc Cr
2 2 2
direct
0.616 0.250 0.233
0.384 0.750 0.767
0.914 0.250 0.828
0.086 0.750 0.172
0.239 0.250 0.477
0.761 0.750 0.523
```

Values from the calculation:
total magnetization	0.00	Bohr magnetons per cell
crystal system	orthorhombic



Version Q
ScCrTc | GGA-PBE | relaxed

```
ScCrTc
1.0
4.489 -0.066 -2.477
-2.979 4.172 -0.096
0.027 0.066 5.127
Sc Cr Tc
2 2 2
direct
0.250 0.124 0.874
0.750 0.876 0.126
0.000 0.500 0.500
0.500 0.000 0.500
0.500 0.500 0.500
0.000 0.500 0.000
```

Values from the calculation:
total magnetization	0.00	Bohr magnetons per cell
crystal system	orthorhombic



The data favor version Q; the next most stable structure lies 183 meV per atom above it.



Version P
ScCr2Tc2 | GGA-PBE | relaxed

```
ScCr2Tc2
1.0
-3.577 -0.764 -1.765
1.921 -1.601 -3.200
-0.945 -5.700 -0.292
Sc Cr Tc
1 2 2
direct
0.000 0.000 0.000
0.750 0.250 0.500
0.250 0.750 0.500
0.375 0.375 0.251
0.625 0.625 0.749
```

Values from the calculation:
total magnetization	0.00	Bohr magnetons per cell
crystal system	tetragonal



Version Q
ScCr2Tc2 | GGA-PBE | relaxed

```
ScCr2Tc2
1.0
7.305 0.000 0.000
0.000 7.305 0.000
0.000 0.000 2.792
Sc Cr Tc
2 4 4
direct
0.000 0.000 0.000
0.500 0.500 0.000
0.357 0.857 0.000
0.857 0.643 0.000
0.643 0.143 0.000
0.143 0.357 0.000
0.152 0.652 0.500
0.652 0.848 0.500
0.848 0.348 0.500
0.348 0.152 0.500
```

Values from the calculation:
total magnetization	0.00	Bohr magnetons per cell
crystal system	tetragonal



The data favor version Q; the next most stable structure lies 21 meV per atom above it.



Version P
ScCrTe2 | GGA-PBE | relaxed

```
ScCrTe2
1.0
7.160 0.672 -0.152
4.621 5.510 0.152
-5.806 -3.252 2.730
Cr Sc Te
1 1 2
direct
0.523 0.523 0.000
0.300 0.800 0.500
0.966 0.966 0.000
0.711 0.211 0.500
```

Values from the calculation:
total magnetization	4.13	Bohr magnetons per cell
crystal system	orthorhombic



Version Q
ScCrTe2 | GGA-PBE | relaxed

```
ScCrTe2
1.0
-5.972 2.321 3.122
-6.139 -1.850 3.112
-3.862 0.141 5.989
Cr Sc Te
1 1 2
direct
0.250 0.250 0.250
0.750 0.750 0.750
0.998 0.998 0.998
0.502 0.502 0.502
```

Values from the calculation:
total magnetization	4.48	Bohr magnetons per cell
crystal system	trigonal



The data favor version Q; the next most stable structure lies 45 meV per atom above it.



Version P
ScCr3Te | GGA-PBE | relaxed

```
ScCr3Te
1.0
5.016 0.000 0.000
0.000 5.016 0.000
0.000 0.000 5.016
Sc Cr Te
1 3 1
direct
0.500 0.500 0.500
0.000 0.500 0.000
0.000 0.000 0.500
0.500 0.000 0.000
0.000 0.000 0.000
```

Values from the calculation:
total magnetization	11.02	Bohr magnetons per cell
crystal system	cubic



Version Q
ScCr3Te | GGA-PBE | relaxed

```
ScCr3Te
1.0
4.802 0.000 0.000
0.000 4.802 0.000
0.000 0.000 4.802
Sc Cr Te
1 3 1
direct
0.000 0.000 0.000
0.000 0.500 0.000
0.000 0.000 0.500
0.500 0.000 0.000
0.500 0.500 0.500
```

Values from the calculation:
total magnetization	10.81	Bohr magnetons per cell
crystal system	cubic



The data favor version P; the next most stable structure lies 405 meV per atom above it.